Compound: Sc5Be4
Source: Alexandria via LeMat-Bulk
Functional: PBE
Structure: relaxed

Its total moment is 0.68 Bohr magnetons per cell. As for the energy above the most stable polymorph in this dataset: 0.137 eV per atom. The value obtained for the formation energy from the elements is 2.149 eV per formula unit.

Structure (POSCAR):
```
Sc5Be4
1.0
4.5156 -4.5193 -0.5202
-5.4730 1.4667 2.9967
-2.6802 -1.1148 -5.7148
Be Sc
4 5
Cartesian
-5.1604 0.2227 -1.7203
0.6737 -2.0681 -2.2887
-2.9928 0.1292 -0.9977
1.1617 -3.5659 -3.9463
-2.2205 -0.4825 1.8516
-2.0572 -1.7200 -2.9153
-1.5804 -2.4474 -0.3230
0.0000 0.0000 0.0000
1.2632 -2.5702 0.6250
```